A geometry-optimized Na3ZrBr structure, computed with PBE.

Unit cell a=5.590 b=5.590 c=5.590 alpha=90.00 beta=90.00 gamma=90.00
Atoms (fractional coordinates):
Na (0.000, 0.000, 0.500)
Na (0.000, 0.500, 0.000)
Na (0.500, 0.000, 0.000)
Zr (0.500, 0.500, 0.500)
Br (0.000, 0.000, 0.000)

## Properties
Raw formation energy in eV per atom: 0.308
Energy relative to the lowest polymorph listed for this composition in meV/atom: 0.0
Density of states at the Fermi level in states/eV/f.u.: 11.8
E in eV for the cell shown: -12.64

***

A geometry-optimized Na3ZrBr structure, computed with PBE.

Unit cell a=6.330 b=6.330 c=6.330 alpha=90.00 beta=90.00 gamma=90.00
Atoms (fractional coordinates):
Na (0.000, 0.000, 0.500)
Na (0.000, 0.500, 0.000)
Na (0.500, 0.000, 0.000)
Zr (0.000, 0.000, 0.000)
Br (0.500, 0.500, 0.500)

## Properties
Raw formation energy in eV per atom: 0.812
Energy relative to the lowest polymorph listed for this composition in meV/atom: 503.9
Density of states at the Fermi level in states/eV/f.u.: 12.5
E in eV for the cell shown: -10.12

***

A geometry-optimized NaZr2Br structure, computed with PBE.

Unit cell a=12.699 b=12.699 c=12.699 alpha=161.57 beta=161.57 gamma=26.18
Atoms (fractional coordinates):
Na (0.000, 0.000, 0.000)
Na (0.750, 0.250, 0.500)
Zr (0.131, 0.625, 0.006)
Zr (0.375, 0.381, 0.506)
Zr (0.619, 0.125, 0.994)
Zr (0.875, 0.869, 0.494)
Br (0.250, 0.750, 0.500)
Br (0.500, 0.500, 0.000)

## Properties
Raw formation energy in eV per atom: 0.215
Energy relative to the lowest polymorph listed for this composition in meV/atom: 0.0
Density of states at the Fermi level in states/eV/f.u.: 3.3
E in eV for the cell shown: -38.46

***

A geometry-optimized NaZr2Br structure, computed with PBE.

Unit cell a=5.023 b=5.023 c=5.023 alpha=60.00 beta=60.00 gamma=60.00
Atoms (fractional coordinates):
Na (0.000, 0.000, 0.000)
Zr (0.250, 0.250, 0.250)
Zr (0.750, 0.750, 0.750)
Br (0.500, 0.500, 0.500)

## Properties
Raw formation energy in eV per atom: 0.566
Energy relative to the lowest polymorph listed for this composition in meV/atom: 350.8
Density of states at the Fermi level in states/eV/f.u.: 2.7
E in eV for the cell shown: -17.83

***

A geometry-optimized Na2ZrBr6 structure, computed with PBE.

Unit cell a=7.139 b=7.538 c=12.750 alpha=90.00 beta=121.63 gamma=90.00
Atoms (fractional coordinates):
Na (0.180, 0.088, 0.223)
Na (0.180, 0.412, 0.723)
Na (0.820, 0.588, 0.277)
Na (0.820, 0.912, 0.777)
Zr (0.500, 0.000, 0.000)
Zr (0.500, 0.500, 0.500)
Br (0.147, 0.191, 0.945)
Br (0.147, 0.309, 0.445)
Br (0.253, 0.710, 0.917)
Br (0.253, 0.790, 0.417)
Br (0.426, 0.064, 0.776)
Br (0.426, 0.436, 0.276)
Br (0.574, 0.564, 0.724)
Br (0.574, 0.936, 0.224)
Br (0.747, 0.210, 0.583)
Br (0.747, 0.290, 0.083)
Br (0.853, 0.691, 0.555)
Br (0.853, 0.809, 0.055)

## Properties
Raw formation energy in eV per atom: -1.460
Energy relative to the lowest polymorph listed for this composition in meV/atom: 0.0
Density of states at the Fermi level in states/eV/f.u.: 0.0
E in eV for the cell shown: -68.72

***

A geometry-optimized Na3ZrBr7 structure, computed with PBE.

Unit cell a=7.514 b=7.514 c=7.804 alpha=112.45 beta=112.45 gamma=71.15
Atoms (fractional coordinates):
Na (0.000, 0.000, 0.000)
Na (0.302, 0.736, 0.465)
Na (0.736, 0.302, 0.465)
Zr (0.628, 0.628, 0.054)
Br (0.257, 0.674, 0.788)
Br (0.435, 0.435, 0.151)
Br (0.435, 0.942, 0.278)
Br (0.674, 0.257, 0.788)
Br (0.707, 0.707, 0.781)
Br (0.898, 0.898, 0.272)
Br (0.942, 0.435, 0.278)

## Properties
Raw formation energy in eV per atom: -1.404
Density of states at the Fermi level in states/eV/f.u.: 0.0
E in eV for the cell shown: -39.66

***

A geometry-optimized Na2ZrBr6 structure, computed with PBE.

Unit cell a=6.860 b=6.860 c=12.768 alpha=90.00 beta=90.00 gamma=90.00
Atoms (fractional coordinates):
Na (0.000, 0.000, 0.166)
Na (0.000, 0.000, 0.834)
Na (0.500, 0.500, 0.334)
Na (0.500, 0.500, 0.666)
Zr (0.000, 0.000, 0.500)
Zr (0.500, 0.500, 0.000)
Br (0.190, 0.190, 0.350)
Br (0.190, 0.190, 0.650)
Br (0.225, 0.225, 0.000)
Br (0.275, 0.725, 0.500)
Br (0.310, 0.690, 0.150)
Br (0.310, 0.690, 0.850)
Br (0.690, 0.310, 0.150)
Br (0.690, 0.310, 0.850)
Br (0.725, 0.275, 0.500)
Br (0.775, 0.775, 0.000)
Br (0.810, 0.810, 0.350)
Br (0.810, 0.810, 0.650)

## Properties
Raw formation energy in eV per atom: -1.448
Energy relative to the lowest polymorph listed for this composition in meV/atom: 11.6
Density of states at the Fermi level in states/eV/f.u.: 0.0
E in eV for the cell shown: -68.51

***

A geometry-optimized Na2Zr3Br9 structure, computed with PBE.

Unit cell a=10.254 b=10.254 c=10.293 alpha=101.34 beta=101.34 gamma=119.22
Atoms (fractional coordinates):
Na (0.038, 0.718, 0.638)
Na (0.282, 0.962, 0.362)
Na (0.718, 0.038, 0.638)
Na (0.962, 0.282, 0.362)
Zr (0.266, 0.455, 0.850)
Zr (0.353, 0.353, 0.131)
Zr (0.455, 0.266, 0.850)
Zr (0.545, 0.734, 0.150)
Zr (0.647, 0.647, 0.869)
Zr (0.734, 0.545, 0.150)
Br (0.018, 0.605, 0.340)
Br (0.068, 0.283, 0.974)
Br (0.179, 0.179, 0.661)
Br (0.183, 0.183, 0.287)
Br (0.283, 0.068, 0.974)
Br (0.285, 0.715, 0.000)
Br (0.390, 0.603, 0.318)
Br (0.395, 0.982, 0.660)
Br (0.397, 0.610, 0.682)
Br (0.603, 0.390, 0.318)
Br (0.605, 0.018, 0.340)
Br (0.610, 0.397, 0.682)
Br (0.715, 0.285, 0.000)
Br (0.717, 0.932, 0.026)
Br (0.817, 0.817, 0.713)
Br (0.821, 0.821, 0.339)
Br (0.932, 0.717, 0.026)
Br (0.982, 0.395, 0.660)

## Properties
Raw formation energy in eV per atom: -1.320
Density of states at the Fermi level in states/eV/f.u.: 5.4
E in eV for the cell shown: -123.63

***

A geometry-optimized NaZrBr4 structure, computed with PBE.

Unit cell a=7.079 b=3.746 c=7.490 alpha=90.00 beta=92.95 gamma=90.00
Atoms (fractional coordinates):
Na (0.000, 0.000, 0.000)
Zr (0.000, 0.500, 0.500)
Br (0.222, 0.500, 0.799)
Br (0.234, 0.000, 0.354)
Br (0.766, 0.000, 0.646)
Br (0.778, 0.500, 0.201)

## Properties
Raw formation energy in eV per atom: -1.370
Energy relative to the lowest polymorph listed for this composition in meV/atom: 0.0
Density of states at the Fermi level in states/eV/f.u.: 2.1
E in eV for the cell shown: -24.78

***

A geometry-optimized Nb4Br structure, computed with PBE.

Unit cell a=4.715 b=4.715 c=4.715 alpha=90.00 beta=90.00 gamma=90.00
Atoms (fractional coordinates):
Nb (0.000, 0.000, 0.000)
Nb (0.000, 0.500, 0.500)
Nb (0.500, 0.000, 0.500)
Nb (0.500, 0.500, 0.000)
Br (0.500, 0.500, 0.500)

## Properties
Raw formation energy in eV per atom: 1.156
Density of states at the Fermi level in states/eV/f.u.: 6.8
E in eV for the cell shown: -36.17

***

A geometry-optimized NbBr6 structure, computed with PBE.

Unit cell a=11.265 b=11.980 c=8.416 alpha=90.00 beta=90.00 gamma=90.00
Atoms (fractional coordinates):
Nb (0.132, 0.250, 0.045)
Nb (0.368, 0.750, 0.545)
Nb (0.632, 0.250, 0.455)
Nb (0.868, 0.750, 0.955)
Br (0.010, 0.106, 0.210)
Br (0.010, 0.394, 0.210)
Br (0.014, 0.750, 0.170)
Br (0.241, 0.597, 0.446)
Br (0.241, 0.903, 0.446)
Br (0.243, 0.750, 0.815)
Br (0.257, 0.250, 0.315)
Br (0.259, 0.097, 0.946)
Br (0.259, 0.403, 0.946)
Br (0.486, 0.250, 0.670)
Br (0.490, 0.606, 0.710)
Br (0.490, 0.894, 0.710)
Br (0.510, 0.106, 0.290)
Br (0.510, 0.394, 0.290)
Br (0.514, 0.750, 0.330)
Br (0.741, 0.597, 0.054)
Br (0.741, 0.903, 0.054)
Br (0.743, 0.750, 0.685)
Br (0.757, 0.250, 0.185)
Br (0.759, 0.097, 0.554)
Br (0.759, 0.403, 0.554)
Br (0.986, 0.250, 0.830)
Br (0.990, 0.606, 0.790)
Br (0.990, 0.894, 0.790)

## Properties
Raw formation energy in eV per atom: -0.625
Density of states at the Fermi level in states/eV/f.u.: 4.5
E in eV for the cell shown: -97.94

***

A geometry-optimized NbBr4 structure, computed with PBE.

Unit cell a=5.153 b=5.153 c=5.153 alpha=90.00 beta=90.00 gamma=90.00
Atoms (fractional coordinates):
Nb (0.000, 0.000, 0.000)
Br (0.000, 0.000, 0.500)
Br (0.000, 0.500, 0.000)
Br (0.500, 0.000, 0.000)
Br (0.500, 0.500, 0.500)

## Properties
Raw formation energy in eV per atom: -0.321
Density of states at the Fermi level in states/eV/f.u.: 3.9
E in eV for the cell shown: -18.36

***

A geometry-optimized NbBr5 structure, computed with PBE.

Unit cell a=7.059 b=7.590 c=10.171 alpha=109.62 beta=90.73 gamma=116.41
Atoms (fractional coordinates):
Nb (0.103, 0.215, 0.218)
Nb (0.897, 0.785, 0.782)
Br (0.073, 0.823, 0.581)
Br (0.109, 0.632, 0.853)
Br (0.227, 0.173, 0.958)
Br (0.290, 0.012, 0.242)
Br (0.430, 0.559, 0.322)
Br (0.570, 0.441, 0.678)
Br (0.710, 0.988, 0.758)
Br (0.773, 0.827, 0.042)
Br (0.891, 0.368, 0.147)
Br (0.927, 0.177, 0.419)

## Properties
Raw formation energy in eV per atom: -0.845
Energy relative to the lowest polymorph listed for this composition in meV/atom: 0.7
Density of states at the Fermi level in states/eV/f.u.: 0.0
E in eV for the cell shown: -47.01

***

A geometry-optimized NbBr5 structure, computed with PBE.

Unit cell a=7.016 b=7.016 c=7.016 alpha=98.27 beta=98.27 gamma=135.42
Atoms (fractional coordinates):
Nb (0.000, 0.000, 0.000)
Br (0.066, 0.736, 0.802)
Br (0.264, 0.066, 0.330)
Br (0.500, 0.500, 0.000)
Br (0.736, 0.934, 0.670)
Br (0.934, 0.264, 0.198)

## Properties
Raw formation energy in eV per atom: -0.734
Energy relative to the lowest polymorph listed for this composition in meV/atom: 111.5
E in eV for the cell shown: -22.84

***

A geometry-optimized NbBr4 structure, computed with PBE.

Unit cell a=6.971 b=6.971 c=6.971 alpha=120.88 beta=120.88 gamma=88.49
Atoms (fractional coordinates):
Nb (0.000, 0.000, 0.000)
Br (0.072, 0.072, 0.416)
Br (0.343, 0.928, 0.000)
Br (0.657, 0.657, 0.584)
Br (0.928, 0.343, 0.000)

## Properties
Raw formation energy in eV per atom: -0.769
Density of states at the Fermi level in states/eV/f.u.: 6.0
E in eV for the cell shown: -20.61

***

A geometry-optimized Nb3Br8 structure, computed with PBE.

Unit cell a=14.434 b=14.434 c=14.434 alpha=28.74 beta=28.74 gamma=28.74
Atoms (fractional coordinates):
Nb (0.147, 0.551, 0.551)
Nb (0.449, 0.449, 0.853)
Nb (0.449, 0.853, 0.449)
Nb (0.551, 0.147, 0.551)
Nb (0.551, 0.551, 0.147)
Nb (0.853, 0.449, 0.449)
Br (0.117, 0.117, 0.622)
Br (0.117, 0.622, 0.117)
Br (0.211, 0.706, 0.706)
Br (0.216, 0.216, 0.216)
Br (0.294, 0.294, 0.789)
Br (0.294, 0.789, 0.294)
Br (0.368, 0.368, 0.368)
Br (0.378, 0.883, 0.883)
Br (0.622, 0.117, 0.117)
Br (0.632, 0.632, 0.632)
Br (0.706, 0.211, 0.706)
Br (0.706, 0.706, 0.211)
Br (0.784, 0.784, 0.784)
Br (0.789, 0.294, 0.294)
Br (0.883, 0.378, 0.883)
Br (0.883, 0.883, 0.378)

## Properties
Raw formation energy in eV per atom: -0.909
Density of states at the Fermi level in states/eV/f.u.: 4.3
E in eV for the cell shown: -107.18

***

A geometry-optimized NbBr5 structure, computed with PBE.

Unit cell a=13.871 b=19.574 c=6.611 alpha=90.00 beta=90.00 gamma=90.00
Atoms (fractional coordinates):
Nb (0.125, 0.141, 0.007)
Nb (0.125, 0.359, 0.007)
Nb (0.375, 0.641, 0.507)
Nb (0.375, 0.859, 0.507)
Nb (0.625, 0.141, 0.493)
Nb (0.625, 0.359, 0.493)
Nb (0.875, 0.641, 0.993)
Nb (0.875, 0.859, 0.993)
Br (0.021, 0.653, 0.211)
Br (0.021, 0.847, 0.211)
Br (0.045, 0.064, 0.245)
Br (0.045, 0.436, 0.245)
Br (0.052, 0.250, 0.221)
Br (0.197, 0.250, 0.793)
Br (0.205, 0.064, 0.770)
Br (0.205, 0.436, 0.770)
Br (0.229, 0.653, 0.724)
Br (0.229, 0.847, 0.724)
Br (0.271, 0.153, 0.224)
Br (0.271, 0.347, 0.224)
Br (0.295, 0.564, 0.270)
Br (0.295, 0.936, 0.270)
Br (0.303, 0.750, 0.293)
Br (0.448, 0.750, 0.721)
Br (0.455, 0.564, 0.745)
Br (0.455, 0.936, 0.745)
Br (0.479, 0.153, 0.711)
Br (0.479, 0.347, 0.711)
Br (0.521, 0.653, 0.289)
Br (0.521, 0.847, 0.289)
Br (0.545, 0.064, 0.255)
Br (0.545, 0.436, 0.255)
Br (0.552, 0.250, 0.279)
Br (0.697, 0.250, 0.707)
Br (0.705, 0.064, 0.730)
Br (0.705, 0.436, 0.730)
Br (0.729, 0.653, 0.776)
Br (0.729, 0.847, 0.776)
Br (0.771, 0.153, 0.276)
Br (0.771, 0.347, 0.276)
Br (0.795, 0.564, 0.230)
Br (0.795, 0.936, 0.230)
Br (0.803, 0.750, 0.207)
Br (0.948, 0.750, 0.779)
Br (0.955, 0.564, 0.755)
Br (0.955, 0.936, 0.755)
Br (0.979, 0.153, 0.789)
Br (0.979, 0.347, 0.789)

## Properties
Raw formation energy in eV per atom: -0.846
Energy relative to the lowest polymorph listed for this composition in meV/atom: 0.0
E in eV for the cell shown: -188.07

***

A geometry-optimized Nb2Br13 structure, computed with PBE.

Unit cell a=7.018 b=7.844 c=11.202 alpha=105.07 beta=94.50 gamma=106.60
Atoms (fractional coordinates):
Nb (0.244, 0.380, 0.221)
Nb (0.756, 0.620, 0.779)
Br (0.031, 0.271, 0.020)
Br (0.049, 0.127, 0.314)
Br (0.058, 0.577, 0.339)
Br (0.385, 0.060, 0.455)
Br (0.479, 0.197, 0.170)
Br (0.498, 0.658, 0.200)
Br (0.500, 0.500, 0.500)
Br (0.502, 0.342, 0.800)
Br (0.521, 0.803, 0.830)
Br (0.615, 0.940, 0.545)
Br (0.942, 0.423, 0.661)
Br (0.951, 0.873, 0.686)
Br (0.969, 0.729, 0.980)

## Properties
Raw formation energy in eV per atom: -0.618
Density of states at the Fermi level in states/eV/f.u.: 1.2
E in eV for the cell shown: -51.16

***

A geometry-optimized NdNbBr2 structure, computed with PBE.

Unit cell a=10.072 b=10.072 c=10.072 alpha=19.42 beta=19.42 gamma=19.42
Atoms (fractional coordinates):
Nd (0.000, 0.000, 0.000)
Nb (0.500, 0.500, 0.500)
Br (0.103, 0.103, 0.103)
Br (0.897, 0.897, 0.897)

## Properties
Raw formation energy in eV per atom: -0.300
Density of states at the Fermi level in states/eV/f.u.: 2.2
E in eV for the cell shown: -19.38

***

A geometry-optimized Nb3NiBr structure, computed with PBE.

Unit cell a=4.707 b=4.707 c=4.707 alpha=90.00 beta=90.00 gamma=90.00
Atoms (fractional coordinates):
Nb (0.000, 0.000, 0.500)
Nb (0.000, 0.500, 0.000)
Nb (0.500, 0.000, 0.000)
Ni (0.000, 0.000, 0.000)
Br (0.500, 0.500, 0.500)

## Properties
Raw formation energy in eV per atom: 0.985
Energy relative to the lowest polymorph listed for this composition in meV/atom: 0.0
Density of states at the Fermi level in states/eV/f.u.: 1.6
E in eV for the cell shown: -32.74